InMo2I: optimized geometry, PBE-GGA.

Calculated values
- excess energy over the best structure of this formula in the dataset (meV/atom) = 0
- energy relative to the elements, uncorrected (eV/atom) = 0.92
- VASP energy (eV per cell) = -22.3

Cell and atoms, written as extended XYZ:
```
4
Lattice="0.0000 3.3375 3.3375 3.3375 0.0000 3.3375 3.3375 3.3375 0.0000" Properties=species:S:1:pos:R:3 pbc="T T T"
In 0.0000 0.0000 0.0000
Mo 1.6688 1.6688 1.6688
Mo 5.0063 5.0063 5.0063
I 3.3375 3.3375 3.3375
```

Sr2DyHoSe4: optimized geometry, PBE-GGA.

Calculated values
- energy relative to the elements, uncorrected (eV/atom) = -1.87
- VASP energy (eV per cell) = -41.5

Cell and atoms, written as extended XYZ:
```
8
Lattice="7.2626 0.0000 0.0000 0.0000 4.1998 0.0000 -2.4283 0.0000 7.0434" Properties=species:S:1:pos:R:3 pbc="T T T"
Sr 0.0000 0.0000 0.0000
Sr 3.6313 2.0999 0.0000
Dy -1.2142 2.0999 3.5217
Ho 2.4171 0.0000 3.5217
Se 0.0023 0.0000 5.1395
Se 1.2136 2.0999 1.9082
Se 3.6207 2.0999 5.1352
Se 4.8320 0.0000 1.9039
```

Nd2TmTa: optimized geometry, PBE-GGA.

Calculated values
- calculated formation energy (eV per atom) = 0.650
- VASP energy (eV per cell) = -23.3

Cell and atoms, written as extended XYZ:
```
4
Lattice="1.6565 0.9564 11.8737 -1.6565 0.9564 11.8737 0.0000 -1.9128 11.8737" Properties=species:S:1:pos:R:3 pbc="T T T"
Nd 0.0000 0.0000 2.9548
Nd 0.0000 0.0000 32.6663
Tm 0.0000 0.0000 17.8106
Ta 0.0000 0.0000 0.0000
```